i) Density functional theory data (GGA-PBE) for an optimized crystal structure of BaLiGa2Pt.

Geometry as POSCAR:
```
BaLiGa2Pt
1.0
4.883 0.000 0.000
0.000 4.883 0.000
0.000 0.000 5.037
Ga Ba Pt Li
2 1 1 1
Direct
0.000 0.500 0.000 Ga
0.500 0.000 0.000 Ga
0.500 0.500 0.500 Ba
0.000 0.000 0.000 Pt
0.000 0.000 0.500 Li
```



ii) Density functional theory data (GGA-PBE) for an optimized crystal structure of BaLiGa2Pt.

Geometry as POSCAR:
```
BaLiGa2Pt
1.0
-0.020 4.304 1.333
-3.821 0.690 -2.285
-1.044 -3.914 5.006
Ba Li Ga Pt
1 1 2 1
Direct
0.000 0.000 0.000 Ba
0.750 0.250 0.500 Li
0.644 0.644 0.287 Ga
0.356 0.356 0.713 Ga
0.250 0.750 0.500 Pt
```



Most stable = ii)



i) Density functional theory data (GGA-PBE) for an optimized crystal structure of BaLi2GaRh.

Geometry as POSCAR:
```
BaLi2GaRh
1.0
-2.252 4.417 0.444
-1.538 -0.309 -4.724
-4.042 -2.208 1.461
Rh Ba Ga Li
1 1 1 2
Direct
0.000 0.000 0.000 Rh
0.500 0.500 0.500 Ba
0.000 0.000 0.500 Ga
0.000 0.500 0.000 Li
0.500 0.000 0.000 Li
```



ii) Density functional theory data (GGA-PBE) for an optimized crystal structure of BaLi2GaRh.

Geometry as POSCAR:
```
BaLi2GaRh
1.0
-0.839 4.718 1.027
-2.003 -1.282 4.257
4.389 0.311 2.159
Rh Ba Ga Li
1 1 1 2
Direct
0.000 0.500 0.000 Rh
0.500 0.500 0.500 Ba
0.000 0.000 0.000 Ga
0.000 0.000 0.500 Li
0.500 0.000 0.000 Li
```



Most stable = i)



i) Density functional theory data (GGA-PBE) for an optimized crystal structure of BaLiZn2Ga.

Geometry as POSCAR:
```
BaLiZn2Ga
1.0
-2.744 -4.160 -0.610
2.879 -2.390 3.347
-3.096 1.495 3.730
Zn Ba Ga Li
2 1 1 1
Direct
0.000 0.500 0.000 Zn
0.500 0.000 0.000 Zn
0.500 0.500 0.500 Ba
0.000 0.000 0.000 Ga
0.000 0.000 0.500 Li
```



ii) Density functional theory data (GGA-PBE) for an optimized crystal structure of BaLiZn2Ga.

Geometry as POSCAR:
```
BaLiZn2Ga
1.0
4.688 0.000 0.000
0.000 4.688 0.000
-2.344 -2.344 5.256
Ba Li Zn Ga
1 1 2 1
Direct
0.000 0.000 0.000 Ba
0.250 0.750 0.500 Li
0.626 0.626 0.252 Zn
0.374 0.374 0.748 Zn
0.750 0.250 0.500 Ga
```



Most stable = ii)



i) Density functional theory data (GGA-PBE) for an optimized crystal structure of BaMg6Ga.

Geometry as POSCAR:
```
BaMg6Ga
1.0
0.506 -2.280 -6.294
-3.030 -4.768 3.627
-4.415 1.988 -1.075
Ba Mg Ga
1 6 1
Direct
0.121 0.879 0.000 Ba
0.209 0.405 0.000 Mg
0.595 0.791 0.000 Mg
0.692 0.308 0.000 Mg
0.398 0.216 0.500 Mg
0.784 0.602 0.500 Mg
0.870 0.130 0.500 Mg
0.331 0.669 0.500 Ga
```



ii) Density functional theory data (GGA-PBE) for an optimized crystal structure of BaMg6Ga.

Geometry as POSCAR:
```
BaMg6Ga
1.0
3.076 -7.185 0.000
3.076 7.185 0.000
0.000 0.000 4.966
Ba Mg Ga
1 6 1
Direct
0.793 0.207 0.500 Ba
0.824 0.698 0.500 Mg
0.302 0.176 0.500 Mg
0.676 0.818 0.000 Mg
0.182 0.324 0.000 Mg
0.621 0.379 0.000 Mg
0.206 0.794 0.000 Mg
0.396 0.604 0.500 Ga
```



Most stable = ii)



i) Density functional theory data (GGA-PBE) for an optimized crystal structure of BaMg2Ga6.

Geometry as POSCAR:
```
BaMg2Ga6
1.0
-0.564 -2.295 -2.446
7.831 0.591 -2.359
-2.169 -5.511 5.671
Ba Mg Ga
1 2 6
Direct
0.000 0.000 0.000 Ba
0.000 0.333 0.667 Mg
0.000 0.667 0.333 Mg
0.500 0.347 0.347 Ga
0.500 0.653 0.653 Ga
0.500 0.000 0.653 Ga
0.500 0.653 0.000 Ga
0.500 0.347 0.000 Ga
0.500 0.000 0.347 Ga
```



ii) Density functional theory data (GGA-PBE) for an optimized crystal structure of BaMg2Ga6.

Geometry as POSCAR:
```
BaMg2Ga6
1.0
4.360 0.000 0.000
0.000 7.637 0.000
-2.180 -3.819 6.127
Ba Mg Ga
1 2 6
Direct
0.000 0.500 0.000 Ba
0.879 0.879 0.758 Mg
0.121 0.121 0.242 Mg
0.694 0.896 0.389 Ga
0.306 0.104 0.611 Ga
0.306 0.508 0.611 Ga
0.500 0.166 0.000 Ga
0.500 0.834 0.000 Ga
0.694 0.492 0.389 Ga
```



Most stable = ii)



i) Density functional theory data (GGA-PBE) for an optimized crystal structure of BaMg2Ga.

Geometry as POSCAR:
```
BaMg2Ga
1.0
-0.939 -3.205 -4.498
-4.362 -2.368 2.597
-8.275 3.753 -4.436
Mg Ba Ga
4 2 2
Direct
0.377 0.125 0.250 Mg
0.373 0.625 0.250 Mg
0.375 0.623 0.750 Mg
0.875 0.627 0.750 Mg
0.000 0.000 0.000 Ba
0.750 0.250 0.500 Ba
0.500 0.500 0.000 Ga
0.250 0.750 0.500 Ga
```



ii) Density functional theory data (GGA-PBE) for an optimized crystal structure of BaMg2Ga.

Geometry as POSCAR:
```
BaMg2Ga
1.0
-2.461 -2.922 2.654
-0.482 -1.755 -6.457
6.478 -4.727 0.802
Ba Mg Ga
2 4 2
Direct
0.946 0.892 0.250 Ba
0.054 0.108 0.750 Ba
0.335 0.670 0.561 Mg
0.665 0.330 0.439 Mg
0.335 0.670 0.939 Mg
0.665 0.330 0.061 Mg
0.776 0.551 0.750 Ga
0.224 0.449 0.250 Ga
```



Most stable = ii)



i) Density functional theory data (GGA-PBE) for an optimized crystal structure of BaMg2Ga.

Geometry as POSCAR:
```
BaMg2Ga
1.0
4.786 0.000 0.000
2.393 4.145 0.000
2.393 1.382 6.203
Mg Ba Ga
2 1 1
Direct
0.799 0.799 0.603 Mg
0.201 0.201 0.397 Mg
0.000 0.000 0.000 Ba
0.500 0.500 0.500 Ga
```



ii) Density functional theory data (GGA-PBE) for an optimized crystal structure of BaMg2Ga.

Geometry as POSCAR:
```
BaMg2Ga
1.0
3.589 0.000 0.000
0.000 3.589 0.000
0.000 0.000 8.783
Mg Ba Ga
2 1 1
Direct
0.000 0.000 0.818 Mg
0.000 0.000 0.182 Mg
0.500 0.500 0.500 Ba
0.500 0.500 0.000 Ga
```



iii) Density functional theory data (GGA-PBE) for an optimized crystal structure of BaMg2Ga.

Geometry as POSCAR:
```
BaMg2Ga
1.0
4.667 0.000 0.000
0.000 4.667 0.000
0.000 0.000 11.077
Ba Mg Ga
2 4 2
Direct
0.500 0.000 0.244 Ba
0.000 0.500 0.756 Ba
0.500 0.000 0.920 Mg
0.000 0.500 0.080 Mg
0.000 0.000 0.500 Mg
0.500 0.500 0.500 Mg
0.500 0.000 0.649 Ga
0.000 0.500 0.351 Ga
```



Most stable = iii)



i) Density functional theory data (GGA-PBE) for an optimized crystal structure of Ba3MgGa.

Geometry as POSCAR:
```
Ba3MgGa
1.0
5.864 0.000 1.340
0.000 6.012 0.000
0.312 0.000 12.133
Ba Mg Ga
6 2 2
Direct
0.748 0.250 0.152 Ba
0.401 0.250 0.846 Ba
0.575 0.250 0.499 Ba
0.247 0.750 0.154 Ba
0.900 0.750 0.848 Ba
0.074 0.750 0.501 Ba
0.486 0.750 0.676 Mg
0.162 0.250 0.324 Mg
0.665 0.750 0.318 Ga
0.983 0.250 0.682 Ga
```



ii) Density functional theory data (GGA-PBE) for an optimized crystal structure of Ba3MgGa.

Geometry as POSCAR:
```
Ba3MgGa
1.0
6.471 0.000 0.000
0.000 6.471 0.000
0.000 0.000 6.471
Mg Ba Ga
1 3 1
Direct
0.500 0.500 0.500 Mg
0.000 0.500 0.000 Ba
0.000 0.000 0.500 Ba
0.500 0.000 0.000 Ba
0.000 0.000 0.000 Ga
```



Most stable = i)



i) Density functional theory data (GGA-PBE) for an optimized crystal structure of Ba3Mg4Ga4.

Geometry as POSCAR:
```
Ba3Mg4Ga4
1.0
-0.393 -4.768 0.735
2.900 0.347 3.824
-9.977 0.002 10.610
Ba Mg Ga
3 4 4
Direct
0.150 0.649 0.701 Ba
0.850 0.351 0.299 Ba
0.000 0.000 0.000 Ba
0.598 0.097 0.805 Mg
0.249 0.250 0.501 Mg
0.751 0.750 0.499 Mg
0.402 0.903 0.195 Mg
0.546 0.546 0.909 Ga
0.454 0.454 0.091 Ga
0.305 0.805 0.392 Ga
0.696 0.195 0.608 Ga
```



ii) Density functional theory data (GGA-PBE) for an optimized crystal structure of Ba3Mg4Ga4.

Geometry as POSCAR:
```
Ba3Mg4Ga4
1.0
4.787 0.000 -1.191
-0.946 6.734 -3.803
-0.210 0.756 9.373
Ba Mg Ga
3 4 4
Direct
0.130 0.130 0.261 Ba
0.870 0.870 0.739 Ba
0.000 0.500 0.000 Ba
0.330 0.137 0.660 Mg
0.670 0.477 0.340 Mg
0.670 0.863 0.340 Mg
0.330 0.523 0.660 Mg
0.217 0.717 0.435 Ga
0.783 0.283 0.565 Ga
0.500 0.833 0.000 Ga
0.500 0.167 0.000 Ga
```



Most stable = i)



i) Density functional theory data (GGA-PBE) for an optimized crystal structure of Ba2Mg2Ga.

Geometry as POSCAR:
```
Ba2Mg2Ga
1.0
-0.558 -7.576 -0.580
7.573 -0.602 0.575
-0.473 -0.409 5.802
Mg Ba Ga
4 4 2
Direct
0.361 0.861 0.000 Mg
0.861 0.639 0.000 Mg
0.639 0.139 0.000 Mg
0.139 0.361 0.000 Mg
0.183 0.683 0.500 Ba
0.683 0.817 0.500 Ba
0.817 0.317 0.500 Ba
0.317 0.183 0.500 Ba
0.000 0.000 0.000 Ga
0.500 0.500 0.000 Ga
```



ii) Density functional theory data (GGA-PBE) for an optimized crystal structure of Ba2Mg2Ga.

Geometry as POSCAR:
```
Ba2Mg2Ga
1.0
-0.387 5.017 -5.659
-5.802 -2.516 3.233
3.142 5.698 4.837
Ba Mg Ga
4 4 2
Direct
0.596 0.340 0.640 Ba
0.256 0.660 0.860 Ba
0.404 0.660 0.360 Ba
0.744 0.340 0.140 Ba
0.797 0.843 0.052 Mg
0.954 0.157 0.448 Mg
0.203 0.157 0.948 Mg
0.046 0.843 0.552 Mg
0.801 0.000 0.750 Ga
0.199 0.000 0.250 Ga
```



Most stable = ii)



i) Density functional theory data (GGA-PBE) for an optimized crystal structure of Ba2MgGaO.

Geometry as POSCAR:
```
Ba2MgGaO
1.0
-0.110 5.438 -0.802
-4.587 -0.319 -1.529
-1.769 0.724 5.155
O Mg Ba Ga
1 1 2 1
Direct
0.000 0.000 0.000 O
0.500 0.500 0.500 Mg
0.000 0.000 0.500 Ba
0.500 0.000 0.000 Ba
0.000 0.500 0.000 Ga
```



ii) Density functional theory data (GGA-PBE) for an optimized crystal structure of Ba2MgGaO.

Geometry as POSCAR:
```
Ba2MgGaO
1.0
-4.498 3.557 0.052
-3.550 -4.482 -0.439
-0.170 -0.276 4.198
O Mg Ba Ga
1 1 2 1
Direct
0.000 0.000 0.000 O
0.000 0.000 0.500 Mg
0.000 0.500 0.000 Ba
0.500 0.000 0.000 Ba
0.500 0.500 0.500 Ga
```



Most stable = ii)



i) Density functional theory data (GGA-PBE) for an optimized crystal structure of BaMgGa2Pt.

Geometry as POSCAR:
```
BaMgGa2Pt
1.0
4.600 0.000 0.000
0.000 4.592 0.000
-2.300 -2.296 5.536
Ba Mg Ga Pt
1 1 2 1
Direct
0.445 0.445 0.890 Ba
0.197 0.697 0.393 Mg
0.701 0.201 0.402 Ga
0.050 0.050 0.101 Ga
0.819 0.819 0.639 Pt
```



ii) Density functional theory data (GGA-PBE) for an optimized crystal structure of BaMgGa2Pt.

Geometry as POSCAR:
```
BaMgGa2Pt
1.0
-3.943 -2.110 -2.095
-1.377 -1.789 4.392
-2.718 4.217 0.866
Mg Ga Ba Pt
1 2 1 1
Direct
0.000 0.000 0.500 Mg
0.000 0.500 0.000 Ga
0.500 0.000 0.000 Ga
0.500 0.500 0.500 Ba
0.000 0.000 0.000 Pt
```



Most stable = i)